{"formula": "MnCrHO2", "functional": "PBE with a Hubbard U", "state": "optimized geometry", "total_energy_ev_per_atom": -6.5853, "spacegroup": "Pm", "polymorph_energy_kcal_per_mol_atoms": 6.329, "lattice": [[3.914, 0.000, 0.000], [0.000, 3.070, 0.000], [-1.365, 0.000, 4.871]], "species": ["Mn", "Cr", "H", "O", "O"], "fractional_positions": [[0.000, 0.000, 0.000], [0.474, 0.500, 0.600], [0.669, 0.500, 0.002], [0.024, 0.500, 0.709], [0.379, 0.000, 0.354]]}